1.
DFT (GGA-PBE) results for a relaxed La2Be4Pt3Au crystal.

The space group is P-4m2 (No. 115) and the conventional cell measures 4.174, 4.174 and 9.725 Å, with angles of 90.00, 90.00 and 90.00 degrees. The inequivalent atoms are La at (0.000, 0.500, 0.245), Be at (0.000, 0.000, 0.000), Be at (0.000, 0.500, 0.623), Be at (0.500, 0.500, 0.000), Pt at (0.000, 0.500, 0.880), Pt at (0.500, 0.500, 0.500) and Au at (0.000, 0.000, 0.500).

As for the total energy: -5.34 eV per atom. As for the theoretical density: 10.74 g cm⁻³.

2.
DFT (GGA-PBE) results for a relaxed La2Be3Pt4Au crystal.

The space group is P-4m2 (No. 115) and the conventional cell measures 4.094, 4.094 and 10.597 Å, with angles of 90.00, 90.00 and 90.00 degrees. The inequivalent atoms are La at (0.000, 0.500, 0.244), Be at (0.000, 0.500, 0.893), Be at (0.500, 0.500, 0.500), Pt at (0.000, 0.000, 0.000), Pt at (0.000, 0.500, 0.672), Pt at (0.500, 0.500, 0.000) and Au at (0.000, 0.000, 0.500).

As for the total energy: -5.65 eV per atom. As for the theoretical density: 11.99 g cm⁻³.

3.
DFT (GGA-PBE) results for a relaxed RbLa2BeAu crystal.

The space group is P4/mmm (No. 123) and the conventional cell measures 5.743, 5.743 and 5.307 Å, with angles of 90.00, 90.00 and 90.00 degrees. The inequivalent atoms are Rb at (0.000, 0.000, 0.000), La at (0.000, 0.500, 0.000), Be at (0.500, 0.500, 0.500) and Au at (0.000, 0.000, 0.500).

As for the total energy: -2.13 eV per atom. As for the theoretical density: 5.40 g cm⁻³.

4.
DFT (GGA-PBE) results for a relaxed LaBeRhAu2 crystal.

The space group is P4/mmm (No. 123) and the conventional cell measures 4.576, 4.576 and 4.529 Å, with angles of 90.00, 90.00 and 90.00 degrees. The inequivalent atoms are La at (0.000, 0.000, 0.000), Be at (0.500, 0.500, 0.500), Rh at (0.500, 0.500, 0.000) and Au at (0.000, 0.500, 0.500).

As for the total energy: -4.98 eV per atom. As for the theoretical density: 11.29 g cm⁻³.